Record 1
A plane-wave DFT calculation with PBE was carried out for a relaxed structure of ZnHgGe.

abc: 4.5739 5.4032 6.2725
angles: 64.38 66.39 85.77
With the nearest neighbours (Å) after each atom.
Sites, in units of the cell vectors:
Ge 0.4556 0.5011 0.3115  1 Ge 2.61, 3 Zn 2.62-2.75, 2 Hg 2.90-2.91
Ge 0.4467 0.8925 0.8840  3 Zn 2.52-2.77, 1 Ge 2.61
Zn 0.0243 0.0909 0.7016  3 Ge 2.52-2.62
Zn 0.4664 0.0345 0.2537  3 Ge 2.69-2.77, 3 Hg 2.84-2.92, 1 Zn 2.86
Hg 0.0686 0.3658 0.0199  3 Zn 2.84-3.03, 2 Ge 2.91-3.04
Hg 0.8122 0.6536 0.5368  3 Ge 2.90-2.94, 3 Zn 2.92-3.14

Summary:
total moment	0.00	μB per formula unit
symmetry	P1 (1)
electronic total energy	-0.06958	Ha/atom
DOS(E_F)	0.29	states/eV/atom
crystal system	triclinic

***

Record 2
A plane-wave DFT calculation with PBE was carried out for a relaxed structure of Zn2Hg2Ge.

abc: 3.6981 3.6981 8.1041
angles: 76.81 76.81 90.00
With the nearest neighbours (Å) after each atom.
Sites, in units of the cell vectors:
Zn 0.7500 0.2500 0.5000  4 Zn 2.61, 4 Hg 2.90
Zn 0.2500 0.7500 0.5000  4 Zn 2.61, 4 Hg 2.90
Ge 0.0000 0.0000 0.0000  8 Hg 3.07
Hg 0.3953 0.3953 0.2095  4 Zn 2.90, 4 Ge 3.07, 1 Hg 3.21
Hg 0.6047 0.6047 0.7905  4 Zn 2.90, 4 Ge 3.07, 1 Hg 3.21

Summary:
total moment	0.00	μB per formula unit
symmetry	I4/mmm (139)
electronic total energy	-0.04833	Ha/atom
DOS(E_F)	0.43	states/eV/atom
crystal system	tetragonal

***

Record 3
A plane-wave DFT calculation with PBE was carried out for a relaxed structure of Zn4HgGe.

abc: 5.3075 5.3075 5.3075
angles: 60.00 60.00 60.00
With the nearest neighbours (Å) after each atom.
Sites, in units of the cell vectors:
Zn 0.6254 0.6254 0.6254  6 Zn 2.65-2.66
Zn 0.6254 0.6254 0.1239  6 Zn 2.65-2.66
Zn 0.1239 0.6254 0.6254  6 Zn 2.65-2.66
Zn 0.6254 0.1239 0.6254  6 Zn 2.65-2.66
Hg 0.2500 0.2500 0.2500  12 Zn 3.11, 4 Ge 3.25
Ge 0.0000 0.0000 0.0000  12 Zn 3.11, 4 Hg 3.25

Summary:
total moment	0.00	μB per formula unit
symmetry	F-43m (216)
electronic total energy	-0.05653	Ha/atom
DOS(E_F)	0.29	states/eV/atom
crystal system	cubic

***

Question: Among the records above, which one has the lowest electronic total energy?
Answer: ZnHgGe